Computed, not measured: a geometry-optimized Pr4Ho3TmS8 structure at the PBE level of DFT.

Computed properties:
- Density of states at the Fermi level: 6.09 states/eV/f.u.
- E: -0.4702 Ry per atom
- Total magnetic moment: 0.000 μB per cell

Cell: 7.8804 8.0926 7.8803 Å, 119.13 120.00 90.00°
With the nearest neighbours (Å) after each atom.
Atoms (fractional coordinates):
Pr 0.5000 0.0000 0.0000  6 S 2.93
Pr 0.5000 0.0000 0.5000  6 S 2.91
Pr 0.0000 0.0000 0.0000  6 S 2.91
Pr 0.0000 0.0000 0.5000  6 S 2.91
Ho 0.5000 0.5000 0.0000  6 S 2.74
Ho 0.5000 0.5000 0.5000  6 S 2.74
Ho 0.0000 0.5000 0.5000  6 S 2.74
Tm 0.0000 0.5000 0.0000  6 S 2.72
S 0.2411 0.7265 0.9854  1 Tm 2.72, 2 Ho 2.74, 3 Pr 2.91-2.93
S 0.2411 0.7265 0.4822  1 Tm 2.72, 2 Ho 2.74, 3 Pr 2.91-2.93
S 0.2574 0.2722 0.5148  3 Ho 2.74, 3 Pr 2.91
S 0.7443 0.7265 0.9854  1 Tm 2.72, 2 Ho 2.74, 3 Pr 2.91-2.93
S 0.2557 0.2735 0.0146  1 Tm 2.72, 2 Ho 2.74, 3 Pr 2.91-2.93
S 0.7426 0.7278 0.4852  3 Ho 2.74, 3 Pr 2.91
S 0.7589 0.2735 0.5178  1 Tm 2.72, 2 Ho 2.74, 3 Pr 2.91-2.93
S 0.7589 0.2735 0.0146  1 Tm 2.72, 2 Ho 2.74, 3 Pr 2.91-2.93